[1]
LaEr4Tm7 after structural relaxation. Source: Alexandria via LeMat-Bulk, functional GGA-PBE.

Unit cell a=6.9099 b=8.4521 c=8.6627 alpha=87.62 beta=99.77 gamma=49.89
Last column: nearest neighbours and their distance in Å.
Fractional coordinates of all 12 atoms:
La1 0.0000 0.0000 0.0000  6 Tm 3.45-3.66, 2 Er 3.56
Er1 0.5797 0.6539 0.3173  7 Tm 3.32-3.63, 2 Er 3.48-3.50, 1 La 3.56
Er2 0.4203 0.3461 0.6827  7 Tm 3.32-3.63, 2 Er 3.48-3.50, 1 La 3.56
Er3 0.7891 0.8123 0.6632  8 Tm 3.41-3.80, 4 Er 3.48-3.77
Er4 0.2109 0.1877 0.3368  8 Tm 3.41-3.80, 4 Er 3.48-3.77
Tm1 0.7314 0.5228 0.9726  5 Tm 3.24-3.56, 2 Er 3.33-3.55, 1 La 3.50
Tm2 0.2686 0.4772 0.0274  5 Tm 3.24-3.56, 2 Er 3.33-3.55, 1 La 3.50
Tm3 0.9430 0.3213 0.6677  5 Tm 3.24-3.61, 5 Er 3.32-3.55
Tm4 0.0570 0.6787 0.3323  5 Tm 3.24-3.61, 5 Er 3.32-3.55
Tm5 0.2881 0.8146 0.6287  5 Tm 3.30-3.61, 5 Er 3.41-3.65
Tm6 0.5000 0.0000 0.0000  4 Tm 3.28-3.55, 2 La 3.45, 4 Er 3.63-3.65
Tm7 0.7119 0.1854 0.3713  5 Tm 3.30-3.61, 5 Er 3.41-3.65

- DFT total energy: -53.52 eV for the cell shown
- SG: No. 2
- Size of the total moment: 0.0 μB/f.u.
- ΔE_f: 8 kJ/mol of atoms

[2]
La3GeTeBr after structural relaxation. Source: Alexandria via LeMat-Bulk, functional GGA-PBE.

Unit cell a=4.4156 b=9.2015 c=10.6482 alpha=92.43 beta=90.00 gamma=90.00
Last column: nearest neighbours and their distance in Å.
Fractional coordinates of all 12 atoms:
La1 0.7500 0.8641 0.1384  1 Br 3.08, 2 Ge 3.08, 3 Te 3.26-3.30
La2 0.2500 0.1359 0.8616  1 Br 3.08, 2 Ge 3.08, 3 Te 3.26-3.30
La3 0.2500 0.6511 0.4216  1 Ge 2.94, 2 Br 2.99
La4 0.7500 0.3489 0.5784  1 Ge 2.94, 2 Br 2.99
La5 0.7500 0.3947 0.1434  3 Ge 3.07-3.10, 2 Te 3.30
La6 0.2500 0.6053 0.8566  3 Ge 3.07-3.10, 2 Te 3.30
Ge1 0.2500 0.6313 0.1454  6 La 2.94-3.10
Ge2 0.7500 0.3687 0.8546  6 La 2.94-3.10
Te1 0.2500 0.1303 0.1677  5 La 3.26-3.30
Te2 0.7500 0.8697 0.8323  5 La 3.26-3.30
Br1 0.2500 0.1299 0.5726  3 La 2.99-3.08
Br2 0.7500 0.8701 0.4274  3 La 2.99-3.08

- DFT total energy: -62.62 eV for the cell shown
- SG: No. 11
- ΔE_f (raw): -114.1 kJ per mole of atoms
- Size of the total moment: 1.4 μB/f.u.

[3]
Ce2Nd2GaGe4 after structural relaxation. Source: Alexandria via LeMat-Bulk, functional GGA-PBE.

Unit cell a=6.6797 b=6.6797 c=6.6797 alpha=98.59 beta=115.17 gamma=115.17
Last column: nearest neighbours and their distance in Å.
Fractional coordinates of all 9 atoms:
Ce1 0.0000 0.6805 0.6805  1 Ga 2.78, 4 Ge 3.01
Ce2 0.0000 0.3195 0.3195  1 Ga 2.78, 4 Ge 3.01
Nd1 0.5000 0.7500 0.2500  8 Ge 3.34, 4 Ce 3.63
Nd2 0.5000 0.2500 0.7500  8 Ge 3.34, 4 Ce 3.63
Ga1 0.0000 0.0000 0.0000  4 Ge 2.50, 2 Ce 2.78
Ge1 0.0000 0.7531 0.2469  1 Ga 2.50
Ge2 0.5061 0.7531 0.7531  1 Ga 2.50
Ge3 0.0000 0.2469 0.7531  1 Ga 2.50
Ge4 0.4939 0.2469 0.2469  1 Ga 2.50

- DFT total energy: -45.77 eV for the cell shown
- SG: No. 139
- Size of the total moment: 2.5 μB/f.u.
- ΔE_f: -31 kJ/mol of atoms

- Look up the DFT total energy of the second one.
  -62.62 eV for the cell shown